DFT (PBE with a Hubbard U) results for a relaxed SrWO2F crystal.

* crystal system: tetragonal
* density of states at the Fermi level: 0.34 states/eV per atom
* uncorrected energy: -23.841 eV for the cell shown

abc: 4.624 4.624 4.373
angles: 90.00 90.00 90.00
Fractional coordinates of all 5 atoms:
Sr: 0.000 0.000 0.000
W: 0.500 0.500 0.500
O: 0.000 0.500 0.000
O: 0.500 0.000 0.000
F: 0.000 0.000 0.500